1.
Density functional theory data (PBE) for a geometry-optimized NaCe2TiO6 structure.

Unit cell a=5.3048 b=5.3048 c=5.2151 alpha=90.00 beta=90.00 gamma=90.00
Space group P4mm (No. 99)
Asymmetric unit:
1 Na 0.0000 0.0000 0.0000
2 Ce 0.0000 0.5000 0.4400
3 Ti 0.5000 0.5000 0.0470
4 O 0.0000 0.0000 0.5806
5 O 0.2657 0.2657 0.1919
6 O 0.5000 0.5000 0.6919

V in A^3/atom: 14.68
ΔE_f (raw) in eV/atom: -2.86
Size of the total moment in μB/f.u.: 1.052

---

2.
Density functional theory data (PBE) for a geometry-optimized KPm6Te8 structure.

Unit cell a=11.9888 b=11.9888 c=4.5563 alpha=90.00 beta=90.00 gamma=120.00
Space group P-3 (No. 147)
Asymmetric unit:
1 K 0.0000 0.0000 0.0000
2 Pm 0.1357 0.4850 0.2498
3 Te 0.0457 0.6953 0.2498
4 Te 0.3333 0.6667 0.7498

V in A^3/atom: 37.81
ΔE_f (raw) in eV/atom: -1.36
Size of the total moment in μB/f.u.: 1.311

---

3.
Density functional theory data (PBE) for a geometry-optimized LaMoBr2 structure.

Unit cell a=3.8569 b=3.8569 c=7.1780 alpha=90.00 beta=90.00 gamma=90.00
Space group P4/mmm (No. 123)
Asymmetric unit:
1 La 0.0000 0.0000 0.0000
2 Mo 0.0000 0.0000 0.5000
3 Br 0.5000 0.5000 0.2311

V in A^3/atom: 26.69
ΔE_f (raw) in eV/atom: 0.01
Energy above the most stable polymorph in this dataset in eV per formula unit: 1.790
Size of the total moment in μB/f.u.: 5.001

---

4.
Density functional theory data (PBE) for a geometry-optimized InTcCl2 structure.

Unit cell a=14.0555 b=3.1208 c=4.9139 alpha=90.00 beta=110.39 gamma=90.00
Space group C2/m (No. 12)
Asymmetric unit:
1 In 0.0000 0.0000 0.0000
2 Tc 0.0000 0.5000 0.5000
3 Cl 0.1454 0.0000 0.6450

V in A^3/atom: 25.25
ΔE_f (raw) in eV/atom: -0.17
Energy above the most stable polymorph in this dataset in eV per formula unit: 0.433
Size of the total moment in μB/f.u.: 0.701

---

What is the formula in the third record?
LaMoBr2

---

The lowest V belongs to which entry?
NaCe2TiO6

---

What is the formula in the first record?
NaCe2TiO6